# Zr2ScZn

A relaxed structure of Zr2ScZn (PBE, Alexandria).

Calculated values
**Symmetry**: No. 65
**Total energy**: -6.1976 eV/atom
**Magnetization**: 0.00 μB/f.u.
**Crystal system**: orthorhombic

Cell: 5.3185 5.3185 3.1614 Å, 90.00 90.00 109.26°
Last column: nearest neighbours and their distance in Å.
Positions (direct):
Zr: 0.0000 0.0000 0.0000  4 Zr 3.08-3.16, 4 Sc 3.09, 4 Zn 3.09
Zr: 0.5000 0.5000 0.0000  4 Zr 3.08-3.16, 4 Zn 3.09, 4 Sc 3.09
Sc: 0.5000 0.0000 0.5000  2 Zn 3.08, 8 Zr 3.09, 2 Sc 3.16
Zn: 0.0000 0.5000 0.5000  2 Sc 3.08, 8 Zr 3.09, 2 Zn 3.16

# Cd2NiMo

A relaxed structure of Cd2NiMo (PBE, Alexandria).

Calculated values
**Symmetry**: No. 123
**Total energy**: -4.3014 eV/atom
**Magnetization**: 0.00 μB/f.u.
**Crystal system**: tetragonal

Cell: 2.8359 2.8359 8.2319 Å, 90.00 90.00 90.00°
Last column: nearest neighbours and their distance in Å.
Positions (direct):
Mo: 0.5000 0.5000 0.2500  4 Mo 2.84, 8 Cd 3.01
Ni: 0.5000 0.5000 0.7500  8 Cd 2.74, 4 Ni 2.84
Cd: 0.0000 0.0000 0.9770  4 Ni 2.74, 4 Cd 2.84, 4 Mo 3.01
Cd: 0.0000 0.0000 0.5230  4 Ni 2.74, 4 Cd 2.84, 4 Mo 3.01

- What is the magnetization in the second record?
  0.00 μB/f.u.